P | VASP calculation (PBE with a Hubbard U) on crystalline BeNbVCuPF at its relaxed geometry.

The volume comes out at 85 Å³ per cell.

It has space group P1 (No. 1), with a = 2.7089 Å, b = 5.1047 Å, c = 6.2948 Å, α = 98.92°, β = 96.83° and γ = 93.10°. The distinct sites, in fractional coordinates, are Be at (0.0000, 0.0000, 0.0000), Nb at (0.5146, 0.1598, 0.6919), V at (0.4563, 0.4533, 0.0727), Cu at (0.0210, 0.6780, 0.6980), P at (0.9842, 0.3429, 0.3974) and F at (0.0242, 0.7906, 0.1545).

=====

Q | VASP calculation (PBE with a Hubbard U) on crystalline BeNbVCuPF at its relaxed geometry.

The volume comes out at 167 Å³ per cell.

It has space group Cm (No. 8), with a = 11.5276 Å, b = 2.6375 Å, c = 5.9508 Å, α = 90.00°, β = 112.54° and γ = 90.00°. The distinct sites, in fractional coordinates, are Be at (0.0000, 0.0000, 0.0000), Nb at (0.2396, 0.0000, 0.1032), V at (0.0759, 0.5000, 0.6926), Cu at (0.3570, 0.5000, 0.5520), P at (0.1571, 0.0000, 0.4300) and F at (0.4260, 0.0000, 0.0547).

=====

The least stable of them is Q.